## K3Rb3CaBr8 (GGA-PBE)

Data for an optimized crystal structure of K3Rb3CaBr8.

## Properties
Formation energy without anion corrections   -1.817 eV per atom
SG   R-3m
Total DFT energy (no corrections)   -3.256 eV/atom
DOS at the Fermi energy   0.00 states/eV/atom

a = 9.693 Å, b = 9.693 Å, c = 9.693 Å
α = 58.82°, β = 58.82°, γ = 58.82°
Atoms (fractional coordinates):
K (0.000, 0.500, 0.500)
K (0.500, 0.000, 0.500)
K (0.500, 0.500, 0.000)
Rb (0.000, 0.000, 0.500)
Rb (0.000, 0.500, 0.000)
Rb (0.500, 0.000, 0.000)
Ca (0.000, 0.000, 0.000)
Br (0.217, 0.217, 0.776)
Br (0.217, 0.776, 0.217)
Br (0.224, 0.783, 0.783)
Br (0.254, 0.254, 0.254)
Br (0.746, 0.746, 0.746)
Br (0.776, 0.217, 0.217)
Br (0.783, 0.224, 0.783)
Br (0.783, 0.783, 0.224)